Entry 1:
Below is crystalline SrCdPb at its relaxed geometry, with properties calculated at the PBE-GGA level.

Crystal system   monoclinic
Calculated density   7.2 g/cm³
Size of the total moment   0.00 μB/cell
E_tot   -2.529 eV per atom

Cell: 8.0596 5.0353 13.8731 Å, 90.00 90.13 90.00°
Space group P2_1/m (No. 11)
Unique sites:
1 Sr 0.0031 0.2500 0.1965 [2 per cell]
2 Sr 0.3296 0.7500 0.5791 [2 per cell]
3 Sr 0.4910 0.7500 0.8713 [2 per cell]
4 Cd 0.0090 0.2500 0.5996 [2 per cell]
5 Cd 0.1621 0.2500 0.9550 [2 per cell]
6 Cd 0.3353 0.7500 0.2905 [2 per cell]
7 Pb 0.2259 0.7500 0.0733 [2 per cell]
8 Pb 0.2343 0.2500 0.4108 [2 per cell]
9 Pb 0.2866 0.2500 0.7488 [2 per cell]

---

Entry 2:
Below is crystalline Hf2GeOsI at its relaxed geometry, with properties calculated at the PBE-GGA level.

Crystal system   tetragonal
Uncorrected formation energy   0.880 eV/atom
Calculated density   10.4 g/cm³
Size of the total moment   0.00 μB/cell
E_tot   -6.580 eV per atom

Cell: 5.1509 5.1509 4.4913 Å, 90.00 90.00 90.00°
Space group P4/mmm (No. 123)
Unique sites:
1 Hf 0.0000 0.5000 0.0000 [2 per cell]
2 Ge 0.0000 0.0000 0.0000 [1 per cell]
3 Os 0.0000 0.0000 0.5000 [1 per cell]
4 I 0.5000 0.5000 0.5000 [1 per cell]

---

Entry 3:
Below is crystalline SrCuSi at its relaxed geometry, with properties calculated at the PBE-GGA level.

Crystal system   orthorhombic
Uncorrected formation energy   0.206 eV/atom
Calculated density   4.2 g/cm³
Size of the total moment   0.00 μB/cell
E_tot   -3.528 eV per atom

Cell: 3.5048 4.8417 8.4297 Å, 90.00 90.00 90.00°
Space group Imm2 (No. 44)
Unique sites:
1 Sr 0.0000 0.0000 0.0000 [2 per cell]
2 Cu 0.0000 0.0000 0.6352 [2 per cell]
3 Si 0.0000 0.0000 0.3585 [2 per cell]

---

Entry 4:
Below is crystalline AlSb2Ir at its relaxed geometry, with properties calculated at the PBE-GGA level.

Crystal system   orthorhombic
Uncorrected formation energy   -0.122 eV/atom
Calculated density   8.9 g/cm³
Size of the total moment   0.00 μB/cell
E_tot   -5.334 eV per atom

Cell: 3.0592 3.6075 7.7944 Å, 90.00 90.00 90.00°
Space group Pmm2 (No. 25)
Unique sites:
1 Al 0.0000 0.0000 0.0000 [1 per cell]
2 Sb 0.0000 0.0000 0.3714 [1 per cell]
3 Sb 0.5000 0.5000 0.7723 [1 per cell]
4 Ir 0.5000 0.5000 0.1439 [1 per cell]

---

Entry 5:
Below is crystalline NdAuO3 at its relaxed geometry, with properties calculated at the PBE-GGA level.

Crystal system   orthorhombic
Uncorrected formation energy   -1.452 eV/atom
Calculated density   8.7 g/cm³
Size of the total moment   0.00 μB/cell
E_tot   -6.036 eV per atom

Cell: 3.9678 12.3583 6.0754 Å, 90.00 90.00 90.00°
Space group Cmcm (No. 63)
Unique sites:
1 Nd 0.0000 0.1920 0.2500 [4 per cell]
2 Au 0.0000 0.4655 0.2500 [4 per cell]
3 O 0.0000 0.0065 0.7500 [4 per cell]
4 O 0.0000 0.3372 0.5190 [8 per cell]

---

Entry 6:
Below is crystalline TaCoRu2Pt at its relaxed geometry, with properties calculated at the PBE-GGA level.

Crystal system   tetragonal
Calculated density   10.0 g/cm³
Size of the total moment   3.67 μB/cell
E_tot   -7.120 eV per atom

Cell: 4.6650 4.6650 4.8594 Å, 90.00 90.00 90.00°
Space group P4/mmm (No. 123)
Unique sites:
1 Ta 0.0000 0.0000 0.0000 [1 per cell]
2 Co 0.5000 0.5000 0.5000 [1 per cell]
3 Ru 0.0000 0.5000 0.0000 [2 per cell]
4 Pt 0.0000 0.0000 0.5000 [1 per cell]

---

Entry 7:
Below is crystalline ReNiRu2 at its relaxed geometry, with properties calculated at the PBE-GGA level.

Crystal system   orthorhombic
Calculated density   13.6 g/cm³
Size of the total moment   0.00 μB/cell
E_tot   -9.078 eV per atom

Cell: 5.3689 7.4900 2.7108 Å, 90.00 90.00 90.00°
Space group Cmmm (No. 65)
Unique sites:
1 Re 0.0000 0.0000 0.0000 [2 per cell]
2 Ni 0.0000 0.5000 0.0000 [2 per cell]
3 Ru 0.2500 0.2500 0.5000 [4 per cell]

---

Entry 8:
Below is crystalline NbP2O2 at its relaxed geometry, with properties calculated at the PBE-GGA level.

Crystal system   tetragonal
Uncorrected formation energy   0.051 eV/atom
Calculated density   5.1 g/cm³
Size of the total moment   0.00 μB/cell
E_tot   -6.110 eV per atom

Cell: 3.5885 3.5885 4.7502 Å, 90.00 90.00 90.00°
Space group P4/mmm (No. 123)
Unique sites:
1 Nb 0.0000 0.0000 0.0000 [1 per cell]
2 P 0.0000 0.5000 0.5000 [2 per cell]
3 O 0.5000 0.5000 0.0000 [1 per cell]
4 O 0.5000 0.5000 0.5000 [1 per cell]

---

Entry 9:
Below is crystalline K2PrTc2N4 at its relaxed geometry, with properties calculated at the PBE-GGA level.

Crystal system   monoclinic
Uncorrected formation energy   -0.347 eV/atom
Calculated density   4.8 g/cm³
Size of the total moment   0.00 μB/cell
E_tot   -7.126 eV per atom

Cell: 12.9343 3.5502 9.4119 Å, 90.00 130.40 90.00°
Space group C2/m (No. 12)
Unique sites:
1 K 0.1511 0.0000 0.2465 [4 per cell]
2 Pr 0.0000 0.0000 0.5000 [2 per cell]
3 Tc 0.1526 0.5000 0.8752 [4 per cell]
4 N 0.0290 0.5000 0.3382 [4 per cell]
5 N 0.2135 0.0000 0.8347 [4 per cell]

---

Entry 10:
Below is crystalline SbP2S2 at its relaxed geometry, with properties calculated at the PBE-GGA level.

Crystal system   tetragonal
Uncorrected formation energy   1.351 eV/atom
Calculated density   3.2 g/cm³
Size of the total moment   0.70 μB/cell
E_tot   -3.288 eV per atom

Cell: 5.1632 5.1632 4.7903 Å, 90.00 90.00 90.00°
Space group P4/mmm (No. 123)
Unique sites:
1 Sb 0.0000 0.0000 0.0000 [1 per cell]
2 P 0.0000 0.5000 0.0000 [2 per cell]
3 S 0.0000 0.0000 0.5000 [1 per cell]
4 S 0.5000 0.5000 0.5000 [1 per cell]

---

Entry 11:
Below is crystalline ThBiPd6 at its relaxed geometry, with properties calculated at the PBE-GGA level.

Crystal system   monoclinic
Calculated density   10.9 g/cm³
Size of the total moment   0.00 μB/cell
E_tot   -5.665 eV per atom

Cell: 8.5631 5.5125 7.3566 Å, 90.00 108.55 90.00°
Space group C2/m (No. 12)
Unique sites:
1 Th 0.0000 0.0000 0.0000 [2 per cell]
2 Bi 0.0000 0.5000 0.5000 [2 per cell]
3 Pd 0.1451 0.0000 0.4400 [4 per cell]
4 Pd 0.2018 0.2417 0.8018 [8 per cell]

---

Entry 12:
Below is crystalline SrLaCl2 at its relaxed geometry, with properties calculated at the PBE-GGA level.

Crystal system   orthorhombic
Uncorrected formation energy   -1.456 eV/atom
Calculated density   3.8 g/cm³
Size of the total moment   0.14 μB/cell
E_tot   -4.032 eV per atom

Cell: 3.7195 7.2914 9.4731 Å, 90.00 90.00 90.00°
Space group Cmmm (No. 65)
Unique sites:
1 Sr 0.0000 0.0000 0.0000 [2 per cell]
2 La 0.0000 0.0000 0.5000 [2 per cell]
3 Cl 0.0000 0.5000 0.2533 [4 per cell]